8
Lattice="2.8928 1.6702 9.5776 -2.8928 1.6702 9.5776 0.0000 -3.3403 9.5776" Properties=species:S:1:pos:R:3 comment="BaSr2CaTl4 (PBE, optimized geometry)" e_form_ev_per_atom=-0.411 pbc="T T T"
Ba 0.0000 0.0000 0.0000
Sr 0.0000 0.0000 7.1082
Sr 0.0000 0.0000 21.6245
Ca 0.0000 0.0000 14.3664
Tl 0.0000 0.0000 3.6081
Tl 0.0000 0.0000 11.0094
Tl 0.0000 0.0000 17.7234
Tl 0.0000 0.0000 25.1247

4
Lattice="0.0000 4.3553 4.3553 4.3553 0.0000 4.3553 4.3553 4.3553 0.0000" Properties=species:S:1:pos:R:3 comment="BaSrCaTl (PBE, optimized geometry)" polymorph_energy_ev_per_atom=0.079 e_form_ev_per_atom=-0.141 pbc="T T T"
Ba 0.0000 0.0000 0.0000
Sr 4.3553 4.3553 4.3553
Ca 6.5329 6.5329 6.5329
Tl 2.1776 2.1776 2.1776

11
Lattice="5.9043 0.0000 0.0000 -2.9521 5.1133 0.0000 0.0000 0.0000 14.7793" Properties=species:S:1:pos:R:3 comment="Ba3Sr2Ca2Tl4 (PBE, optimized geometry)" e_form_ev_per_atom=-0.256 pbc="T T T"
Ba 0.0000 0.0000 0.0000
Ba 0.0000 0.0000 4.0893
Ba 0.0000 0.0000 10.6900
Sr 0.0000 3.4088 8.5892
Sr 2.9521 1.7044 6.1901
Ca 0.0000 3.4088 1.8550
Ca 2.9521 1.7044 12.9242
Tl 0.0000 3.4088 5.1577
Tl 0.0000 3.4088 12.9155
Tl 2.9521 1.7044 1.8637
Tl 2.9521 1.7044 9.6215

12
Lattice="5.6145 0.0000 0.0000 0.0000 10.6219 0.0000 0.0000 0.0000 8.2189" Properties=species:S:1:pos:R:3 comment="Ba2SrCaTl2 (PBE, optimized geometry)" e_form_ev_per_atom=-0.311 pbc="T T T"
Ba 0.0000 0.7965 0.0000
Ba 0.0000 9.8254 4.1094
Ba 2.8072 1.8749 2.6393
Ba 2.8072 8.7470 6.7487
Sr 2.8072 4.7182 7.8243
Sr 2.8072 5.9037 3.7149
Ca 0.0000 3.3987 5.1951
Ca 0.0000 7.2232 1.0856
Tl 0.0000 4.0426 1.8805
Tl 0.0000 6.5793 5.9899
Tl 2.8072 1.6750 6.1068
Tl 2.8072 8.9469 1.9973

4
Lattice="4.1642 0.0000 0.0000 0.0000 4.1642 0.0000 0.0000 0.0000 10.1164" Properties=species:S:1:pos:R:3 comment="BaSrCaTl (PBE, optimized geometry)" polymorph_energy_ev_per_atom=0.000 e_form_ev_per_atom=-0.220 pbc="T T T"
Ba 0.0000 0.0000 0.0000
Sr 2.0821 2.0821 6.6682
Ca 0.0000 0.0000 3.8211
Tl 2.0821 2.0821 2.2874

5
Lattice="6.4958 0.0000 0.0000 0.0000 6.4958 0.0000 0.0000 0.0000 6.6265" Properties=species:S:1:pos:R:3 comment="BaSr2CaTl (PBE, optimized geometry)" polymorph_energy_ev_per_atom=0.099 e_form_ev_per_atom=0.019 pbc="T T T"
Ba 0.0000 0.0000 0.0000
Sr 0.0000 3.2479 3.3133
Sr 3.2479 0.0000 3.3133
Ca 3.2479 3.2479 0.0000
Tl 0.0000 0.0000 3.3133

5
Lattice="6.7861 0.0000 0.0000 0.0000 6.7861 0.0000 0.0000 0.0000 6.1772" Properties=species:S:1:pos:R:3 comment="Ba2SrCaTl (PBE, optimized geometry)" polymorph_energy_ev_per_atom=0.000 e_form_ev_per_atom=-0.019 pbc="T T T"
Ba 0.0000 3.3931 0.0000
Ba 3.3931 0.0000 0.0000
Sr 0.0000 0.0000 3.0886
Ca 3.3931 3.3931 3.0886
Tl 3.3931 3.3931 0.0000

5
Lattice="6.4895 0.0000 0.0000 0.0000 6.4895 0.0000 0.0000 0.0000 6.1905" Properties=species:S:1:pos:R:3 comment="BaSr2CaTl (PBE, optimized geometry)" polymorph_energy_ev_per_atom=0.000 e_form_ev_per_atom=-0.080 pbc="T T T"
Ba 0.0000 0.0000 0.0000
Sr 0.0000 3.2448 3.0953
Sr 3.2448 0.0000 3.0953
Ca 3.2448 3.2448 0.0000
Tl 3.2448 3.2448 3.0953

5
Lattice="6.7274 0.0000 0.0000 0.0000 6.7274 0.0000 0.0000 0.0000 6.5055" Properties=species:S:1:pos:R:3 comment="Ba2SrCaTl (PBE, optimized geometry)" polymorph_energy_ev_per_atom=0.051 e_form_ev_per_atom=0.032 pbc="T T T"
Ba 0.0000 3.3637 0.0000
Ba 3.3637 0.0000 0.0000
Sr 0.0000 0.0000 3.2527
Ca 3.3637 3.3637 3.2527
Tl 0.0000 0.0000 0.0000

5
Lattice="6.0725 0.0000 0.0000 0.0000 6.0725 0.0000 0.0000 0.0000 6.3290" Properties=species:S:1:pos:R:3 comment="BaSrCa2V (PBE, optimized geometry)" e_form_ev_per_atom=1.449 pbc="T T T"
Ba 0.0000 0.0000 0.0000
Sr 0.0000 0.0000 3.1645
Ca 0.0000 3.0363 0.0000
Ca 3.0363 0.0000 0.0000
V 3.0363 3.0363 3.1645

5
Lattice="6.2748 0.0000 0.0000 0.0000 6.2748 0.0000 0.0000 0.0000 6.0531" Properties=species:S:1:pos:R:3 comment="BaSr2CaZn (PBE, optimized geometry)" polymorph_energy_ev_per_atom=0.000 e_form_ev_per_atom=-0.026 pbc="T T T"
Ba 0.0000 0.0000 0.0000
Sr 0.0000 3.1374 3.0266
Sr 3.1374 0.0000 3.0266
Ca 3.1374 3.1374 0.0000
Zn 3.1374 3.1374 3.0266

5
Lattice="6.2939 0.0000 0.0000 0.0000 6.2939 0.0000 0.0000 0.0000 6.3374" Properties=species:S:1:pos:R:3 comment="BaSr2CaZn (PBE, optimized geometry)" polymorph_energy_ev_per_atom=0.059 e_form_ev_per_atom=0.033 pbc="T T T"
Ba 0.0000 0.0000 0.0000
Sr 0.0000 3.1470 3.1687
Sr 3.1470 0.0000 3.1687
Ca 3.1470 3.1470 0.0000
Zn 0.0000 0.0000 3.1687